Computed, not measured: a relaxed structure of Dy12TmTh6 at the PBE level of DFT.

a = 8.653 Å, b = 8.653 Å, c = 8.653 Å
α = 97.68°, β = 97.68°, γ = 97.68°
Sites, in units of the cell vectors:
Dy (0.000, 0.261, 0.739)
Dy (0.000, 0.739, 0.261)
Dy (0.167, 0.588, 0.588)
Dy (0.261, 0.000, 0.739)
Dy (0.261, 0.739, 0.000)
Dy (0.412, 0.412, 0.833)
Dy (0.412, 0.833, 0.412)
Dy (0.588, 0.167, 0.588)
Dy (0.588, 0.588, 0.167)
Dy (0.739, 0.000, 0.261)
Dy (0.739, 0.261, 0.000)
Dy (0.833, 0.412, 0.412)
Tm (0.000, 0.000, 0.000)
Th (0.137, 0.137, 0.407)
Th (0.137, 0.407, 0.137)
Th (0.407, 0.137, 0.137)
Th (0.593, 0.863, 0.863)
Th (0.863, 0.593, 0.863)
Th (0.863, 0.863, 0.593)

As for the space group: No. 166. The calculation puts the total energy at -101.2 eV for the cell shown. Its total moment is 0.0 μB/f.u. As for the formation energy: 292 kJ/mol of formula units.

---

Computed, not measured: a relaxed structure of MoAsAu at the PBE level of DFT.

a = 4.263 Å, b = 4.263 Å, c = 3.364 Å
α = 90.00°, β = 90.00°, γ = 120.00°
Sites, in units of the cell vectors:
Mo (0.000, 0.000, 0.000)
As (0.667, 0.333, 0.000)
Au (0.333, 0.667, 0.500)

As for the space group: No. 187. The calculation puts the total energy at -17.9 eV for the cell shown. Its total moment is 0.0 μB/f.u. As for the formation energy: 85 kJ/mol of formula units.

---

Computed, not measured: a relaxed structure of TbDySc3 at the PBE level of DFT.

a = 6.226 Å, b = 6.268 Å, c = 8.255 Å
α = 79.90°, β = 71.55°, γ = 63.51°
Sites, in units of the cell vectors:
Tb (0.202, 0.211, 0.030)
Tb (0.798, 0.789, 0.970)
Dy (0.241, 0.651, 0.199)
Dy (0.759, 0.349, 0.801)
Sc (0.158, 0.140, 0.425)
Sc (0.307, 0.855, 0.748)
Sc (0.331, 0.384, 0.623)
Sc (0.669, 0.616, 0.377)
Sc (0.693, 0.145, 0.252)
Sc (0.842, 0.860, 0.575)

As for the space group: No. 2. The calculation puts the total energy at -56.0 eV for the cell shown. Its total moment is 0.0 μB/f.u. As for the formation energy: 22 kJ/mol of formula units.

---

Computed, not measured: a relaxed structure of PmNp at the PBE level of DFT.

a = 3.373 Å, b = 3.373 Å, c = 5.883 Å
α = 90.00°, β = 90.00°, γ = 120.00°
Sites, in units of the cell vectors:
Pm (0.000, 0.000, 0.000)
Np (0.333, 0.667, 0.500)

As for the space group: No. 187. The calculation puts the total energy at -16.5 eV for the cell shown. Its total moment is 4.5 μB/f.u. As for the formation energy: 117 kJ/mol of formula units.